The following is a DFT calculation (PBE) of TbY3Cd2 after structural relaxation.

```
12
Lattice="5.236 0.000 0.000 0.000 6.919 0.000 0.000 0.000 9.461" Properties=species:S:1:pos:R:3 pbc="T T T"
Y 0.000 2.227 3.053
Y 2.618 4.692 1.682
Y 0.000 5.687 6.408
Y 2.618 1.232 7.779
Y 0.000 3.327 9.024
Y 0.000 6.786 0.437
Cd 2.618 1.560 1.401
Cd 0.000 5.360 3.318
Cd 0.000 1.900 6.143
Cd 2.618 5.020 8.060
Tb 2.618 3.592 5.176
Tb 2.618 0.132 4.285
```

Properties
Excess energy over the best structure of this formula in the dataset, kJ/mol of atoms: 0.00
ρ, g/cm³: 6.3
DFT formation energy, eV per atom: -0.2327

---

The following is a DFT calculation (PBE) of V12Ga6Si after structural relaxation.

```
19
Lattice="6.404 0.425 0.509 -0.551 6.394 0.509 -0.551 -0.642 6.382" Properties=species:S:1:pos:R:3 pbc="T T T"
V 3.016 5.721 6.240
V 5.198 5.452 4.902
V 2.656 2.470 5.613
V 2.647 3.708 1.787
V 4.601 3.757 6.744
V 2.286 0.457 1.160
V 0.682 2.782 3.968
V 0.701 2.421 0.657
V 2.039 4.987 3.955
V 4.620 3.396 3.433
V 3.264 1.191 3.446
V 0.105 0.726 2.499
Ga 0.802 4.183 6.115
Ga 1.289 0.416 4.905
Ga 4.501 1.994 1.286
Ga 5.086 1.591 5.209
Ga 4.014 5.761 2.496
Ga 0.216 4.587 2.192
Si 0.000 0.000 0.000
```

Properties
ρ, g/cm³: 6.6
Formation energy from raw total energies, eV/atom: -0.077

---

The following is a DFT calculation (PBE) of InSi2Se after structural relaxation.

```
4
Lattice="-6.171 -0.396 -4.168 -6.999 -2.306 -1.143 -7.246 1.358 -1.126" Properties=species:S:1:pos:R:3 pbc="T T T"
Si -10.078 -0.664 -3.178
Si -0.130 -0.009 -0.041
Se -15.311 -1.008 -4.828
In -5.104 -0.336 -1.609
```

Properties
ρ, g/cm³: 5.0
Formation energy from raw total energies, eV/atom: 0.324

---

no.,calculated volume (Å³/atom)
1,28.6
2,14.0
3,20.9